No. 1
Be2NbTl2, optimized geometry, DFT PBE; excess energy over the best structure of this formula in the dataset = 21.6 kJ/mol of atoms; ΔE_f = 0.81 eV/atom; symmetry = I4/mmm, No. 139
1.0
-2.049 2.049 5.193
2.049 -2.049 5.193
2.049 2.049 -5.193
Be Nb Tl
2 1 2
Direct
0.094 0.094 0.000
0.906 0.906 0.000
0.500 0.500 0.000
0.250 0.750 0.500
0.750 0.250 0.500



No. 2
NdThHg, optimized geometry, DFT PBE; excess energy over the best structure of this formula in the dataset = 20.3 kJ/mol of atoms; ΔE_f = -0.01 eV/atom; symmetry = P3m1, No. 156
1.0
5.333 0.000 0.000
-2.666 4.618 0.000
0.000 0.000 3.673
Nd Th Hg
1 1 1
Direct
0.000 0.000 0.000
0.333 0.667 0.566
0.667 0.333 0.366



No. 3
La3Tb6PmTh2, optimized geometry, DFT PBE; ΔE_f = 0.02 eV/atom; symmetry = C2/m, No. 12
1.0
3.140 -5.439 0.000
3.140 5.439 0.000
-2.097 0.000 11.687
La Tb Pm Th
3 6 1 2
Direct
0.000 0.000 0.000
0.334 0.666 0.000
0.666 0.334 0.000
0.081 0.419 0.256
0.243 0.243 0.744
0.419 0.081 0.256
0.581 0.919 0.744
0.757 0.757 0.256
0.919 0.581 0.744
0.500 0.500 0.500
0.167 0.833 0.500
0.833 0.167 0.500



No. 4
CaYSc2Os, optimized geometry, DFT PBE; ΔE_f = -0.08 eV/atom; symmetry = P4/mmm, No. 123
1.0
5.153 0.000 0.000
0.000 5.153 0.000
0.000 0.000 5.447
Ca Y Sc Os
1 1 2 1
Direct
0.000 0.000 0.000
0.500 0.500 0.000
0.000 0.500 0.500
0.500 0.000 0.500
0.500 0.500 0.500



No. 5
CeCd9Au2, optimized geometry, DFT PBE; ΔE_f = -0.18 eV/atom; symmetry = I4_1/amd, No. 141
1.0
-5.934 5.934 3.799
5.934 -5.934 3.799
5.934 5.934 -3.799
Ce Cd Au
2 18 4
Direct
0.375 0.625 0.750
0.625 0.375 0.250
0.125 0.554 0.330
0.125 0.795 0.571
0.125 0.875 0.250
0.205 0.276 0.330
0.205 0.875 0.929
0.276 0.205 0.830
0.276 0.446 0.071
0.446 0.276 0.571
0.446 0.875 0.170
0.554 0.125 0.830
0.554 0.724 0.429
0.724 0.554 0.929
0.724 0.795 0.170
0.795 0.125 0.071
0.795 0.724 0.670
0.875 0.125 0.750
0.875 0.205 0.429
0.875 0.446 0.670
0.000 0.000 0.000
0.000 0.000 0.500
0.000 0.500 0.000
0.500 0.000 0.500



No. 6
Ce3Si2Ni6, optimized geometry, DFT PBE; final energy = -139.4 eV for the cell shown; symmetry = Im-3m, No. 229
1.0
-4.406 4.406 4.406
4.406 -4.406 4.406
4.406 4.406 -4.406
Ce Si Ni
6 4 12
Direct
0.000 0.281 0.281
0.000 0.719 0.719
0.281 0.000 0.281
0.281 0.281 0.000
0.719 0.000 0.719
0.719 0.719 0.000
0.000 0.000 0.500
0.000 0.500 0.000
0.500 0.000 0.000
0.500 0.500 0.500
0.000 0.337 0.663
0.000 0.663 0.337
0.325 0.663 0.663
0.337 0.000 0.663
0.337 0.337 0.675
0.337 0.663 0.000
0.337 0.675 0.337
0.663 0.000 0.337
0.663 0.325 0.663
0.663 0.337 0.000
0.663 0.663 0.325
0.675 0.337 0.337



Copy entry 2 word for word.
NdThHg, optimized geometry, DFT PBE; excess energy over the best structure of this formula in the dataset = 20.3 kJ/mol of atoms; ΔE_f = -0.01 eV/atom; symmetry = P3m1, No. 156
1.0
5.333 0.000 0.000
-2.666 4.618 0.000
0.000 0.000 3.673
Nd Th Hg
1 1 1
Direct
0.000 0.000 0.000
0.333 0.667 0.566
0.667 0.333 0.366